CdPb | PBE | optimized geometry

## Properties
- volume (Å³/atom) = 53.7
- crystal system = cubic
- symmetry = No. 217
- formation energy (kJ per mole of atoms) = 35
- total DFT energy (no corrections) (eV/atom) = -1.95

Cell lengths 9.5091, 9.5091, 9.5091 Å; angles 90.00, 90.00, 90.00 degrees
With the nearest neighbours (Å) after each atom.
Atoms (fractional coordinates):
Pb (0.1240, 0.8760, 0.1240)  4 Cd 3.00-3.16, 3 Pb 3.34
Pb (0.3760, 0.3760, 0.3760)  4 Cd 3.00-3.16, 3 Pb 3.34
Pb (0.8760, 0.8760, 0.8760)  4 Cd 3.00-3.16, 3 Pb 3.34
Pb (0.8760, 0.1240, 0.1240)  4 Cd 3.00-3.16, 3 Pb 3.34
Pb (0.3760, 0.6240, 0.6240)  4 Cd 3.00-3.16, 3 Pb 3.34
Pb (0.6240, 0.6240, 0.3760)  4 Cd 3.00-3.16, 3 Pb 3.34
Pb (0.6240, 0.3760, 0.6240)  4 Cd 3.00-3.16, 3 Pb 3.34
Pb (0.1240, 0.1240, 0.8760)  4 Cd 3.00-3.16, 3 Pb 3.34
Cd (0.3062, 0.3062, 0.6938)  4 Pb 3.00-3.16
Cd (0.1938, 0.1938, 0.1938)  4 Pb 3.00-3.16
Cd (0.6938, 0.6938, 0.6938)  4 Pb 3.00-3.16
Cd (0.6938, 0.3062, 0.3062)  4 Pb 3.00-3.16
Cd (0.8062, 0.1938, 0.8062)  4 Pb 3.00-3.16
Cd (0.1938, 0.8062, 0.8062)  4 Pb 3.00-3.16
Cd (0.8062, 0.8062, 0.1938)  4 Pb 3.00-3.16
Cd (0.3062, 0.6938, 0.3062)  4 Pb 3.00-3.16